No. 1
The following is a DFT calculation (PBE) of Sc2AlInC after structural relaxation.

Results
**Energy relative to the elements**: -2.3 eV/f.u.
**DFT total energy**: -30.7 eV per cell

Cell: 4.6276 4.6276 4.0214 Å, 90.00 90.00 90.00°
Atoms (fractional coordinates):
Al (0.0000, 0.0000, 0.5000)
In (0.5000, 0.5000, 0.5000)
Sc (0.0000, 0.5000, 0.0000)
Sc (0.5000, 0.0000, 0.0000)
C (0.0000, 0.0000, 0.0000)

---

No. 2
The following is a DFT calculation (PBE) of Tl3Ag5 after structural relaxation.

Results
**Relative energy among the computed polymorphs**: 0 meV per atom
**Energy relative to the elements**: 1.1 eV/f.u.
**DFT total energy**: -20.2 eV per cell

Cell: 6.2536 6.2536 4.4376 Å, 90.00 90.00 93.99°
Atoms (fractional coordinates):
Tl (0.7691, 0.2309, 0.5000)
Tl (0.5000, 0.5000, 0.0000)
Tl (0.2309, 0.7691, 0.5000)
Ag (0.0000, 0.0000, 0.0000)
Ag (0.5000, 0.0000, 0.0000)
Ag (0.7506, 0.7506, 0.5000)
Ag (0.2494, 0.2494, 0.5000)
Ag (0.0000, 0.5000, 0.0000)

---

No. 3
The following is a DFT calculation (PBE) of TcHgN2F after structural relaxation.

Results
**Relative energy among the computed polymorphs**: 0 meV per atom
**Formation energy (no corrections)**: 18.52 kJ/mol of atoms
**DFT total energy**: -28.2 eV per cell

Cell: 3.9081 3.9081 4.3315 Å, 90.00 90.00 90.00°
Atoms (fractional coordinates):
Tc (0.0000, 0.0000, 0.0000)
Hg (0.5000, 0.5000, 0.5000)
N (0.5000, 0.0000, 0.0000)
N (0.0000, 0.5000, 0.0000)
F (0.0000, 0.0000, 0.5000)

---

No. 4
The following is a DFT calculation (PBE) of RbTbAg2Br8 after structural relaxation.

Results
**Formation energy (no corrections)**: -89.08 kJ/mol of atoms
**DFT total energy**: -35.8 eV per cell

Cell: 7.1545 7.1545 9.3393 Å, 112.52 112.52 90.00°
Atoms (fractional coordinates):
Br (0.0541, 0.9729, 0.6865)
Br (0.7343, 0.2642, 0.8813)
Br (0.7358, 0.8531, 0.1187)
Br (0.3830, 0.2657, 0.1187)
Br (0.1469, 0.6170, 0.8813)
Br (0.0271, 0.3676, 0.3135)
Br (0.2864, 0.9459, 0.3135)
Br (0.6324, 0.7136, 0.6865)
Ag (0.2500, 0.7500, 0.5000)
Ag (0.5000, 0.5000, 0.0000)
Rb (0.7500, 0.2500, 0.5000)
Tb (0.0000, 0.0000, 0.0000)

---

Results for magnetization: 0.00 0.00 0.00 0.00 (in μB/atom, following the order of the records).